DFT (GGA-PBE) results for a relaxed Tb3In4Ag2 crystal.

Computed properties:
**Total moment**: 0.00 μB/f.u.
**ΔH_f (0 K)**: -428 meV/atom
**SG**: No. 12

The structure in POSCAR format:
```
Tb3In4Ag2
1.0
5.553 -2.441 0.000
5.553 2.441 0.000
-4.211 0.000 8.169
Tb In Ag
3 4 2
Cartesian
0.000 0.000 0.000
2.225 0.000 2.799
4.671 0.000 5.370
-1.096 0.000 3.044
-0.953 0.000 7.534
7.849 0.000 0.635
7.992 0.000 5.126
1.342 0.000 5.935
5.554 0.000 2.234
```